P:
# GGA-PBE TbNd3Os, optimized geometry
# - density (g/cm3) = 7.4
# - M_tot (Bohr magnetons per cell) = 0.00
data_TbNd3Os
_chemical_formula_sum 'Tb1 Nd3 Os1'
_cell_length_a 5.6012
_cell_length_b 5.6012
_cell_length_c 5.6012
_cell_angle_alpha 90.00
_cell_angle_beta 90.00
_cell_angle_gamma 90.00
_space_group_name_H-M_alt 'P 1'
_space_group_IT_number 1
_space_group_name_Hall 'P 1'
loop_
_atom_site_label
_atom_site_type_symbol
_atom_site_fract_x
_atom_site_fract_y
_atom_site_fract_z
Tb1 Tb 0.0000 0.0000 0.0000
Nd1 Nd 0.0000 0.5000 0.5000
Nd2 Nd 0.5000 0.0000 0.5000
Nd3 Nd 0.5000 0.5000 0.0000
Os1 Os 0.5000 0.5000 0.5000


Q:
# GGA-PBE TbNd3Os, optimized geometry
# - density (g/cm3) = 8.4
# - M_tot (Bohr magnetons per cell) = 0.00
data_TbNd3Os
_chemical_formula_sum 'Tb2 Nd6 Os2'
_cell_length_a 7.0317
_cell_length_b 7.0317
_cell_length_c 6.7495
_cell_angle_alpha 104.43
_cell_angle_beta 104.43
_cell_angle_gamma 92.78
_space_group_name_H-M_alt 'P 1'
_space_group_IT_number 1
_space_group_name_Hall 'P 1'
loop_
_atom_site_label
_atom_site_type_symbol
_atom_site_fract_x
_atom_site_fract_y
_atom_site_fract_z
Tb1 Tb 0.0636 0.0636 0.2627
Tb2 Tb 0.9364 0.9364 0.7373
Nd1 Nd 0.0649 0.5657 0.2632
Nd2 Nd 0.4295 0.4295 0.7260
Nd3 Nd 0.4343 0.9350 0.7368
Nd4 Nd 0.5657 0.0649 0.2632
Nd5 Nd 0.5705 0.5705 0.2740
Nd6 Nd 0.9350 0.4343 0.7368
Os1 Os 0.2489 0.2489 0.0072
Os2 Os 0.7511 0.7511 0.9928


Most stable pick: Q. Distance to second place: 0.148 eV/atom.